This record from Alexandria via LeMat-Bulk describes an optimized crystal structure of LaNb3Tl. The functional is PBE.

**Energy**: -29.0 eV for the cell shown
**Crystal system**: cubic
**Calculated volume**: 24.56 Å³ per atom
**Density of states at the Fermi level**: 6.8 states/eV/f.u.
**Total moment**: 0.00 μB/f.u.
**Formation energy**: 1.71 eV per atom
**Space-group type**: No. 221

Unit cell a=4.9705 b=4.9705 c=4.9705 alpha=90.00 beta=90.00 gamma=90.00
Last column: nearest neighbours and their distance in Å.
Fractional positions:
Tl  0.5000  0.5000  0.5000  12 Nb 3.51
Nb  0.0000  0.5000  0.0000  2 La 2.49
Nb  0.0000  0.0000  0.5000  2 La 2.49
Nb  0.5000  0.0000  0.0000  2 La 2.49
La  0.0000  0.0000  0.0000  6 Nb 2.49


This record from Alexandria via LeMat-Bulk describes an optimized crystal structure of LaZn2Cu4. The functional is PBE.

**Energy**: -22.6 eV for the cell shown
**Crystal system**: tetragonal
**Calculated volume**: 20.18 Å³ per atom
**Density of states at the Fermi level**: 2.4 states/eV/f.u.
**Total moment**: 0.00 μB/f.u.
**Formation energy**: 0.17 eV per atom
**Space-group type**: No. 139

Unit cell a=5.7915 b=5.7915 c=5.7915 alpha=102.37 beta=102.37 gamma=124.87
Last column: nearest neighbours and their distance in Å.
Fractional positions:
La  0.0000  0.0000  0.0000  8 Cu 3.15
Zn  0.2500  0.7500  0.5000  4 Cu 2.39
Zn  0.7500  0.2500  0.5000  4 Cu 2.39
Cu  0.7275  0.5000  0.2275  2 Cu 2.34, 2 Zn 2.39
Cu  0.5000  0.7275  0.2275  2 Cu 2.34, 2 Zn 2.39
Cu  0.5000  0.2725  0.7725  2 Cu 2.34, 2 Zn 2.39
Cu  0.2725  0.5000  0.7725  2 Cu 2.34, 2 Zn 2.39


This record from Alexandria via LeMat-Bulk describes an optimized crystal structure of Pm4SmGa5. The functional is PBE.

**Energy**: -44.6 eV for the cell shown
**Crystal system**: tetragonal
**Calculated volume**: 24.56 Å³ per atom
**Density of states at the Fermi level**: 4.0 states/eV/f.u.
**Total moment**: 0.00 μB/f.u.
**Formation energy**: -0.57 eV per atom
**Space-group type**: No. 123

Unit cell a=3.6633 b=3.6633 c=18.3033 alpha=90.00 beta=90.00 gamma=90.00
Last column: nearest neighbours and their distance in Å.
Fractional positions:
Pm  0.0000  0.0000  0.1993  8 Ga 3.18
Pm  0.0000  0.0000  0.3998  8 Ga 3.17
Pm  0.0000  0.0000  0.6002  8 Ga 3.17
Pm  0.0000  0.0000  0.8007  8 Ga 3.18
Sm  0.0000  0.0000  0.0000  8 Ga 3.16
Ga  0.5000  0.5000  0.0988  4 Sm 3.16, 4 Pm 3.18
Ga  0.5000  0.5000  0.2996  8 Pm 3.17-3.18
Ga  0.5000  0.5000  0.5000  8 Pm 3.17
Ga  0.5000  0.5000  0.7004  8 Pm 3.17-3.18
Ga  0.5000  0.5000  0.9012  4 Sm 3.16, 4 Pm 3.18


This record from Alexandria via LeMat-Bulk describes an optimized crystal structure of Nd3AlHg3. The functional is PBE.

**Energy**: -43.7 eV for the cell shown
**Crystal system**: monoclinic
**Calculated volume**: 27.44 Å³ per atom
**Density of states at the Fermi level**: 7.5 states/eV/f.u.
**Total moment**: 0.00 μB/f.u.
**Formation energy**: -0.42 eV per atom
**Space-group type**: No. 12

Unit cell a=4.4609 b=6.1843 c=15.1071 alpha=85.10 beta=81.51 gamma=68.86
Last column: nearest neighbours and their distance in Å.
Fractional positions:
Nd  0.5244  0.3381  0.6130  7 Hg 3.24-3.60, 3 Al 3.30-3.33
Nd  0.4756  0.6619  0.3870  7 Hg 3.24-3.60, 3 Al 3.30-3.33
Nd  0.2555  0.2566  0.2323  6 Hg 3.20-3.41, 2 Al 3.33
Nd  0.7445  0.7434  0.7677  6 Hg 3.20-3.41, 2 Al 3.33
Nd  0.3983  0.2843  0.9190  7 Hg 3.15-3.44
Nd  0.6017  0.7157  0.0810  7 Hg 3.15-3.44
Al  0.7649  0.0838  0.3864  4 Hg 2.68-2.93
Al  0.2351  0.9162  0.6136  4 Hg 2.68-2.93
Hg  0.8548  0.7513  0.5391  3 Al 2.68-2.93
Hg  0.1452  0.2487  0.4609  3 Al 2.68-2.93
Hg  0.1234  0.8299  0.9234  2 Hg 3.07-3.11, 5 Nd 3.15-3.29
Hg  0.8766  0.1701  0.0766  2 Hg 3.07-3.11, 5 Nd 3.15-3.29
Hg  0.9763  0.8109  0.2365  1 Al 2.78, 1 Hg 3.11
Hg  0.0237  0.1891  0.7635  1 Al 2.78, 1 Hg 3.11


This record from Alexandria via LeMat-Bulk describes an optimized crystal structure of Ba2LiTl3Pb4. The functional is PBE.

**Energy**: -30.4 eV for the cell shown
**Crystal system**: tetragonal
**Calculated volume**: 34.44 Å³ per atom
**Density of states at the Fermi level**: 4.5 states/eV/f.u.
**Total moment**: 0.00 μB/f.u.
**Formation energy**: -0.27 eV per atom
**Space-group type**: No. 115

Unit cell a=4.9723 b=4.9723 c=13.9285 alpha=90.00 beta=90.00 gamma=90.00
Last column: nearest neighbours and their distance in Å.
Fractional positions:
Ba  0.5000  0.0000  0.2587  6 Tl 3.84-4.18, 4 Pb 3.84, 2 Li 4.18
Ba  0.0000  0.5000  0.7413  4 Pb 3.84, 6 Tl 3.84-4.18, 2 Li 4.18
Li  0.5000  0.5000  0.5000  4 Pb 3.08
Tl  0.0000  0.0000  0.5000  4 Pb 3.08
Tl  0.5000  0.0000  0.8524  5 Pb 3.09-3.23
Tl  0.0000  0.5000  0.1476  5 Pb 3.09-3.23
Pb  0.5000  0.5000  0.0000  4 Tl 3.23, 4 Pb 3.52
Pb  0.0000  0.0000  0.0000  4 Tl 3.23, 4 Pb 3.52
Pb  0.5000  0.0000  0.6302  3 Tl 3.08-3.09, 2 Li 3.08
Pb  0.0000  0.5000  0.3698  3 Tl 3.08-3.09, 2 Li 3.08


This record from Alexandria via LeMat-Bulk describes an optimized crystal structure of Hg2SbTeSe2. The functional is PBE.

**Energy**: -30.3 eV for the cell shown
**Formation energy from raw total energies**: -0.05 eV per atom
**Crystal system**: orthorhombic
**Calculated volume**: 32.55 Å³ per atom
**Density of states at the Fermi level**: 2.3 states/eV/f.u.
**Total moment**: 0.00 μB/f.u.
**Space-group type**: No. 36

Unit cell a=8.1725 b=7.5410 c=7.3742 alpha=120.75 beta=90.00 gamma=90.00
Last column: nearest neighbours and their distance in Å.
Fractional positions:
Hg  0.8346  0.9031  0.3284  3 Se 2.80-2.96, 1 Te 2.92
Hg  0.8346  0.5747  0.6716  3 Se 2.80-2.96, 1 Te 2.92
Hg  0.3346  0.4253  0.3284  3 Se 2.80-2.96, 1 Te 2.92
Hg  0.3346  0.0969  0.6716  3 Se 2.80-2.96, 1 Te 2.92
Sb  0.3249  0.7142  0.0000  2 Se 2.65, 1 Te 2.84
Sb  0.8249  0.2858  0.0000  2 Se 2.65, 1 Te 2.84
Te  0.6740  0.9464  0.0000  1 Sb 2.84, 2 Hg 2.92
Te  0.1740  0.0536  0.0000  1 Sb 2.84, 2 Hg 2.92
Se  0.1526  0.7652  0.3284  1 Sb 2.65, 3 Hg 2.80-2.96
Se  0.1526  0.4368  0.6716  1 Sb 2.65, 3 Hg 2.80-2.96
Se  0.6526  0.2348  0.6716  1 Sb 2.65, 3 Hg 2.80-2.96
Se  0.6526  0.5632  0.3284  1 Sb 2.65, 3 Hg 2.80-2.96


This record from Alexandria via LeMat-Bulk describes an optimized crystal structure of ReSeN2O. The functional is PBE.

**Energy**: -33.6 eV for the cell shown
**Formation energy from raw total energies**: 0.78 eV per atom
**Crystal system**: tetragonal
**Calculated volume**: 14.73 Å³ per atom
**Density of states at the Fermi level**: 2.8 states/eV/f.u.
**Total moment**: 0.00 μB/f.u.
**Space-group type**: No. 123

Unit cell a=3.7313 b=3.7313 c=5.2899 alpha=90.00 beta=90.00 gamma=90.00
Last column: nearest neighbours and their distance in Å.
Fractional positions:
Re  0.0000  0.0000  0.0000  4 N 1.87
O  0.5000  0.5000  0.5000  4 Se 2.64
Se  0.0000  0.0000  0.5000  4 O 2.64, 2 Re 2.64
N  0.0000  0.5000  0.0000  2 Re 1.87
N  0.5000  0.0000  0.0000  2 Re 1.87


This record from Alexandria via LeMat-Bulk describes an optimized crystal structure of Li2ScAu8. The functional is PBE.

**Energy**: -41.4 eV for the cell shown
**Crystal system**: monoclinic
**Calculated volume**: 17.37 Å³ per atom
**Density of states at the Fermi level**: 4.8 states/eV/f.u.
**Total moment**: 0.00 μB/f.u.
**Formation energy**: -0.46 eV per atom
**Space-group type**: No. 12

Unit cell a=4.1022 b=6.5834 c=7.6768 alpha=106.35 beta=105.50 gamma=90.00
Last column: nearest neighbours and their distance in Å.
Fractional positions:
Li  0.7793  0.3543  0.5586  10 Au 2.75-2.90
Li  0.2207  0.6457  0.4414  10 Au 2.75-2.90
Sc  0.5000  0.0000  0.0000  12 Au 2.90-2.96
Au  0.3982  0.5436  0.7964  3 Li 2.75-2.90, 7 Au 2.85-3.00, 1 Sc 2.94
Au  0.6816  0.9143  0.3632  3 Li 2.83-2.88, 8 Au 2.87-2.93, 1 Sc 2.90
Au  0.8571  0.8037  0.7143  3 Li 2.84-2.85, 7 Au 2.85-3.01, 2 Sc 2.96
Au  0.9556  0.2731  0.9111  1 Li 2.81, 9 Au 2.89-3.01, 2 Sc 2.93
Au  0.1429  0.1963  0.2857  3 Li 2.84-2.85, 7 Au 2.85-3.01, 2 Sc 2.96
Au  0.3184  0.0857  0.6368  3 Li 2.83-2.88, 8 Au 2.87-2.93, 1 Sc 2.90
Au  0.6018  0.4564  0.2036  3 Li 2.75-2.90, 7 Au 2.85-3.00, 1 Sc 2.94
Au  0.0444  0.7269  0.0889  1 Li 2.81, 9 Au 2.89-3.01, 2 Sc 2.93